Record 1
Below is a relaxed structure of Pu5Si, with properties calculated at the PBE level.

a = 4.767 Å, b = 3.785 Å, c = 6.486 Å
α = 106.97°, β = 90.00°, γ = 90.00°
Site moments in Bohr magnetons follow the coordinates.
Sites, in units of the cell vectors:
Si1 0.000 0.000 0.000  -0.01
Pu1 0.000 0.307 0.614  -0.04
Pu2 0.500 0.135 0.271  4.05
Pu3 0.500 0.500 0.000  -2.92
Pu4 0.500 0.865 0.729  4.05
Pu5 0.000 0.693 0.386  -0.04

Properties
**Space group**: Cmmm, No. 65

---

Record 2
Below is a relaxed structure of PuSi6, with properties calculated at the PBE level.

a = 5.769 Å, b = 5.769 Å, c = 5.769 Å
α = 109.47°, β = 109.47°, γ = 109.47°
Site moments in Bohr magnetons follow the coordinates.
Sites, in units of the cell vectors:
Si1 0.500 0.250 0.750  0.01
Si2 0.250 0.500 0.750  0.01
Si3 0.500 0.750 0.250  0.01
Si4 0.750 0.500 0.250  0.01
Si5 0.250 0.750 0.500  0.01
Si6 0.750 0.250 0.500  0.01
Pu1 0.000 0.000 0.000  5.76

Properties
**Space group**: Im-3m, No. 229

---

Record 3
Below is a relaxed structure of SmPu2Si2, with properties calculated at the PBE level.

a = 4.374 Å, b = 6.946 Å, c = 8.243 Å
α = 90.00°, β = 90.00°, γ = 108.35°
Site moments in Bohr magnetons follow the coordinates.
Sites, in units of the cell vectors:
Si1 0.207 0.415 0.655  -0.05
Si2 0.793 0.585 0.155  -0.05
Si3 0.037 0.074 0.538  -0.05
Si4 0.963 0.926 0.038  -0.05
Sm1 0.579 0.157 0.842  0.01
Sm2 0.421 0.843 0.342  0.01
Pu1 0.683 0.366 0.446  5.27
Pu2 0.317 0.634 0.946  5.27
Pu3 0.852 0.705 0.723  5.29
Pu4 0.148 0.295 0.223  5.29

Properties
**Space group**: Cmc2_1, No. 36

---

Record 4
Below is a relaxed structure of Sm2PuSi6, with properties calculated at the PBE level.

a = 4.025 Å, b = 7.073 Å, c = 7.073 Å
α = 120.00°, β = 90.00°, γ = 90.00°
Site moments in Bohr magnetons follow the coordinates.
Sites, in units of the cell vectors:
Pu1 0.000 0.000 0.000  5.09
Si1 0.500 0.332 0.000  -0.02
Si2 0.500 0.000 0.668  -0.02
Si3 0.500 0.000 0.332  -0.02
Si4 0.500 0.668 0.668  -0.02
Si5 0.500 0.668 0.000  -0.02
Si6 0.500 0.332 0.332  -0.02
Sm1 0.000 0.333 0.667  -0.03
Sm2 0.000 0.667 0.333  -0.03

Properties
**Space group**: P6/mmm, No. 191

---

Record 5
Below is a relaxed structure of SmPuSi4, with properties calculated at the PBE level.

a = 4.007 Å, b = 4.025 Å, c = 7.135 Å
α = 90.00°, β = 90.00°, γ = 90.00°
Site moments in Bohr magnetons follow the coordinates.
Sites, in units of the cell vectors:
Si1 0.499 0.997 0.161  -0.03
Si2 0.499 0.497 0.666  0.00
Si3 0.499 0.497 0.331  0.00
Si4 0.499 0.997 0.835  -0.03
Pu1 0.999 0.497 0.998  5.14
Sm1 0.999 0.997 0.498  -0.03

Properties
**Energy above the most stable polymorph in this dataset**: 0 meV per atom
**Space group**: Pmmm, No. 47

---

Record 6
Below is a relaxed structure of SmPu2Si6, with properties calculated at the PBE level.

a = 3.955 Å, b = 7.044 Å, c = 7.044 Å
α = 120.00°, β = 90.00°, γ = 90.00°
Site moments in Bohr magnetons follow the coordinates.
Sites, in units of the cell vectors:
Si1 0.500 0.666 0.000  -0.02
Si2 0.500 0.334 0.000  -0.02
Si3 0.500 0.666 0.666  -0.02
Si4 0.500 0.334 0.334  -0.02
Si5 0.500 0.000 0.666  -0.02
Si6 0.500 0.000 0.334  -0.02
Sm1 0.000 0.000 0.000  -0.03
Pu1 0.000 0.667 0.333  5.09
Pu2 0.000 0.333 0.667  5.09

Properties
**Space group**: P6/mmm, No. 191

---

Record 7
Below is a relaxed structure of Sm5PuSi4, with properties calculated at the PBE level.

a = 5.039 Å, b = 6.889 Å, c = 10.617 Å
α = 130.57°, β = 103.73°, γ = 90.00°
Site moments in Bohr magnetons follow the coordinates.
Sites, in units of the cell vectors:
Si1 0.677 0.103 0.354  -0.02
Si2 0.323 0.897 0.646  -0.02
Si3 0.992 0.738 0.984  -0.03
Si4 0.008 0.262 0.016  -0.03
Sm1 0.835 0.677 0.671  0.07
Sm2 0.165 0.323 0.329  0.07
Sm3 0.165 0.836 0.329  -0.02
Sm4 0.500 0.500 0.000  0.07
Sm5 0.835 0.164 0.671  -0.02
Pu1 0.500 0.000 0.000  5.38

Properties
**Space group**: C2/m, No. 12

---

Record 8
Below is a relaxed structure of SmPuSi3, with properties calculated at the PBE level.

a = 3.981 Å, b = 4.169 Å, c = 12.559 Å
α = 99.56°, β = 90.00°, γ = 90.00°
Site moments in Bohr magnetons follow the coordinates.
Sites, in units of the cell vectors:
Si1 0.750 0.524 0.047  -0.03
Si2 0.750 0.328 0.656  0.00
Si3 0.750 0.617 0.234  -0.02
Si4 0.250 0.383 0.766  -0.02
Si5 0.250 0.672 0.344  0.00
Si6 0.250 0.476 0.953  -0.03
Pu1 0.250 0.069 0.139  5.13
Pu2 0.750 0.931 0.861  5.13
Sm1 0.250 0.798 0.595  -0.08
Sm2 0.750 0.202 0.405  -0.08

Properties
**Space group**: Cmcm, No. 63

---

It is found that the raw formation energy values, taken in the order of the records, are 5.3, 200.6, -314.2, -551.2, -527.9, -503.9, -438.1, -574.1 meV/atom.
It is found that the E_tot values, taken in the order of the records, are -77.05, -45.47, -91.60, -61.27, -43.91, -70.46, -64.00, -76.38 eV/cell.